Computed, not measured: a relaxed structure of Cr2AgPb2 at the PBE level of DFT.

Properties
ΔE_f = 0.562 eV/atom
Energy above the lowest structure with this stoichiometry = 0 meV/atom
Space group = I4/mmm, No. 139
Magnetic moment = 0.0 μB/f.u.
N(E_F) = 3.60 states/eV per cell

Unit cell a=3.308 b=3.308 c=9.539 alpha=80.02 beta=80.02 gamma=90.00
Element x y z (fractional)
1 Ag 0.000 0.000 0.000
2 Pb 0.382 0.382 0.237
3 Cr 0.750 0.250 0.500
4 Cr 0.250 0.750 0.500
5 Pb 0.618 0.618 0.763